Material: LaTb7Sm3
Method: DFT, PBE-GGA
State: relaxed

Results
As for the size of the total moment: 0.00 μB per formula unit. The energy of formation from the pure elements comes out at 0.19 eV per atom. The energy above the most stable polymorph in this dataset comes out at 0.556 eV/f.u.

Cell lengths 7.1197, 7.1197, 8.7270 Å; angles 90.00, 90.00, 120.00 degrees
Space group P3m1 (No. 156)
Symmetry-distinct sites (fractional):
La 0.0000 0.0000 0.0000
Tb 0.0021 0.5011 0.9976
Tb 0.3321 0.1661 0.3281
Tb 0.3333 0.6667 0.3239
Sm 0.1672 0.3345 0.6600


Material: Tb2Pr5NdTm
Method: DFT, PBE-GGA
State: relaxed

Results
As for the size of the total moment: 0.00 μB per formula unit. The energy of formation from the pure elements comes out at 0.29 eV per atom.

Cell lengths 9.500, 9.500, 14.176 Å; angles 90.00, 90.00, 90.00 degrees
Space group I4/mcm (No. 140)
Symmetry-distinct sites (fractional):
Tb 0.108 0.392 0.000
Pr 0.000 0.000 0.000
Pr 0.202 0.298 0.367
Nd 0.000 0.000 0.250
Tm 0.000 0.500 0.250


Material: Li5Pu3Mg12
Method: DFT, PBE-GGA
State: relaxed

Results
As for the size of the total moment: 19.58 μB per formula unit. The energy of formation from the pure elements comes out at 0.61 eV per atom.

Cell lengths 16.810, 16.810, 16.810 Å; angles 90.00, 90.00, 90.00 degrees
Space group Ia-3d (No. 230)
Symmetry-distinct sites (fractional):
Li 0.000 0.000 0.000
Li 0.000 0.250 0.375
Pu 0.000 0.250 0.125
Mg 0.057 0.066 0.623


Material: CsCd2SbF8
Method: DFT, PBE-GGA
State: relaxed

Results
As for the uncorrected formation energy: -2.270 eV per atom. As for the size of the total moment: 0.00 μB per formula unit.

Cell lengths 5.339, 5.497, 7.612 Å; angles 88.82, 89.17, 88.86 degrees
Space group P-1 (No. 2)
Symmetry-distinct sites (fractional):
Cs 0.000 0.000 0.000
Cd 0.497 0.496 0.249
Sb 0.000 0.000 0.500
F 0.177 0.753 0.694
F 0.187 0.762 0.310
F 0.317 0.273 0.498
F 0.424 0.282 0.002